# 1
Entry from Alexandria: a relaxed BaAuSe crystal (GGA-PBE).

## Properties
ΔE_f (raw)   -0.689 eV/atom
D(E_F)   0.441 states/eV/atom
Space-group type   No. 216
E_tot   -3.58 eV/atom
Polymorph energy (0 for the lowest one)   0.4360 eV/atom

a b c (Å): 5.3539 5.3539 5.3539
angles (deg): 60.00 60.00 60.00
With the nearest neighbours (Å) after each atom.
Positions (direct):
Au 0.5000 0.5000 0.5000  4 Ba 3.28
Ba 0.7500 0.7500 0.7500  4 Se 3.28, 4 Au 3.28
Se 0.0000 0.0000 0.0000  4 Ba 3.28

***

# 2
Entry from Alexandria: a relaxed TbTm3Pd3 crystal (GGA-PBE).

## Properties
D(E_F)   0.758 states/eV/atom
Calculated formation energy   -0.73 eV/atom
Space-group type   No. 166
E_tot   -5.53 eV/atom
Polymorph energy (0 for the lowest one)   0.0000 eV/atom

a b c (Å): 5.9962 5.9567 5.9962
angles (deg): 109.34 109.60 109.34
With the nearest neighbours (Å) after each atom.
Positions (direct):
Tb 0.0000 0.5030 0.0000  6 Pd 3.00
Tm 0.4996 0.0036 0.0000  6 Pd 2.98-3.00
Tm 0.5004 0.5040 0.5004  6 Pd 2.98-3.00
Tm 0.0000 0.0036 0.4996  6 Pd 2.98-3.00
Pd 0.5001 0.5037 0.0000  6 Tm 2.98-3.00, 2 Tb 3.00
Pd 0.4999 0.0035 0.4999  6 Tm 2.98-3.00, 2 Tb 3.00
Pd 0.0000 0.5037 0.5001  6 Tm 2.98-3.00, 2 Tb 3.00

***

> Which of these has the highest D(E_F)?

TbTm3Pd3

***

> Which value of D(E_F) does entry 1 give?

0.441 states/eV/atom